# 1
Ho3AlGa4 | PBE | optimized geometry

**Uncorrected energy**: -0.2982 Ry/atom
**SG**: No. 71
**Formation enthalpy at 0 K**: -360 meV per atom

a b c (Å): 3.6286 6.2283 8.9095
angles (deg): 110.46 101.75 90.00
Positions (direct):
Ho (0.2097, 0.2097, 0.4195)
Ho (0.7903, 0.7903, 0.5805)
Ho (0.0000, 0.5000, 0.0000)
Al (0.5000, 0.0000, 0.0000)
Ga (0.3765, 0.5867, 0.7531)
Ga (0.6235, 0.4133, 0.2469)
Ga (0.6235, 0.8336, 0.2469)
Ga (0.3765, 0.1664, 0.7531)

# 2
HoAlGa2 | PBE | optimized geometry

**Uncorrected energy**: -0.2874 Ry/atom
**SG**: No. 123
**Formation enthalpy at 0 K**: -316 meV per atom

a b c (Å): 3.5076 3.5076 6.4797
angles (deg): 90.00 90.00 90.00
Positions (direct):
Ho (0.5000, 0.5000, 0.5000)
Ga (0.0000, 0.0000, 0.7924)
Ga (0.0000, 0.0000, 0.2076)
Al (0.5000, 0.5000, 0.0000)

# 3
Ho5Al2Ga | PBE | optimized geometry

**Uncorrected energy**: -0.3326 Ry/atom
**SG**: No. 140
**Formation enthalpy at 0 K**: -350 meV per atom

a b c (Å): 7.6738 7.6738 8.9342
angles (deg): 115.43 115.43 90.00
Positions (direct):
Ho (0.5194, 0.6808, 0.7002)
Ho (0.8192, 0.9806, 0.2998)
Ho (0.0000, 0.0000, 0.0000)
Ho (0.5000, 0.5000, 0.0000)
Ho (0.1808, 0.0194, 0.7002)
Ho (0.6808, 0.1808, 0.7002)
Ho (0.0194, 0.5194, 0.7002)
Ho (0.3192, 0.8192, 0.2998)
Ho (0.9806, 0.4806, 0.2998)
Ho (0.4806, 0.3192, 0.2998)
Al (0.1214, 0.3786, 0.0000)
Al (0.6214, 0.1214, 0.0000)
Al (0.3786, 0.8786, 0.0000)
Al (0.8786, 0.6214, 0.0000)
Ga (0.7500, 0.7500, 0.5000)
Ga (0.2500, 0.2500, 0.5000)